Run i
The following is a meta-GGA SCAN calculation of a PBEsol-optimized structure of BiP4O12, from Alexandria.

Unit cell a=7.205 b=13.002 c=11.848 alpha=90.00 beta=125.82 gamma=90.00
Space group P2_1/c (No. 14)
Inequivalent atoms, fractional coordinates:
1 Bi 0.040 0.220 0.023 (multiplicity 4)
2 P 0.060 0.092 0.295 (multiplicity 4)
3 P 0.154 0.629 0.801 (multiplicity 4)
4 P 0.393 0.613 0.268 (multiplicity 4)
5 P 0.492 0.607 0.742 (multiplicity 4)
6 O 0.022 0.123 0.854 (multiplicity 4)
7 O 0.132 0.104 0.199 (multiplicity 4)
8 O 0.144 0.521 0.864 (multiplicity 4)
9 O 0.148 0.164 0.414 (multiplicity 4)
10 O 0.152 0.715 0.883 (multiplicity 4)
11 O 0.213 0.581 0.300 (multiplicity 4)
12 O 0.290 0.691 0.153 (multiplicity 4)
13 O 0.299 0.172 0.706 (multiplicity 4)
14 O 0.301 0.610 0.589 (multiplicity 4)
15 O 0.392 0.145 0.096 (multiplicity 4)
16 O 0.406 0.629 0.837 (multiplicity 4)
17 O 0.422 0.509 0.209 (multiplicity 4)

---

Run ii
The following is a meta-GGA SCAN calculation of a PBEsol-optimized structure of BiP4O12, from Alexandria.

Unit cell a=17.280 b=11.781 c=5.179 alpha=90.00 beta=94.15 gamma=90.00
Space group C2/m (No. 12)
Inequivalent atoms, fractional coordinates:
1 Bi 0.185 0.000 0.035 (multiplicity 4)
2 P 0.087 0.176 0.476 (multiplicity 8)
3 P 0.193 0.382 0.421 (multiplicity 8)
4 O 0.000 0.219 0.500 (multiplicity 4)
5 O 0.090 0.114 0.223 (multiplicity 8)
6 O 0.116 0.118 0.719 (multiplicity 8)
7 O 0.122 0.300 0.457 (multiplicity 8)
8 O 0.146 0.500 0.457 (multiplicity 4)
9 O 0.219 0.376 0.151 (multiplicity 8)
10 O 0.245 0.128 0.360 (multiplicity 8)

---

Relative energies, eV/atom: run i 0.000; run ii 0.035.

---

Run i
The following is a meta-GGA SCAN calculation of a PBEsol-optimized structure of BiP4O12, from Alexandria.

Unit cell a=7.230 b=8.324 c=7.757 alpha=90.00 beta=91.74 gamma=90.00
Space group P2_1 (No. 4)
Inequivalent atoms, fractional coordinates:
1 Bi 0.240 0.000 0.247 (multiplicity 2)
2 P 0.003 0.150 0.619 (multiplicity 2)
3 P 0.098 0.415 0.095 (multiplicity 2)
4 P 0.391 0.250 0.594 (multiplicity 2)
5 P 0.436 0.628 0.091 (multiplicity 2)
6 O 0.006 0.046 0.793 (multiplicity 2)
7 O 0.017 0.428 0.914 (multiplicity 2)
8 O 0.026 0.042 0.467 (multiplicity 2)
9 O 0.092 0.254 0.180 (multiplicity 2)
10 O 0.166 0.756 0.385 (multiplicity 2)
11 O 0.183 0.256 0.657 (multiplicity 2)
12 O 0.310 0.472 0.089 (multiplicity 2)
13 O 0.327 0.780 0.065 (multiplicity 2)
14 O 0.395 0.201 0.408 (multiplicity 2)
15 O 0.408 0.110 0.031 (multiplicity 2)
16 O 0.474 0.411 0.637 (multiplicity 2)
17 O 0.481 0.113 0.714 (multiplicity 2)

---

Run ii
The following is a meta-GGA SCAN calculation of a PBEsol-optimized structure of BiP4O12, from Alexandria.

Unit cell a=10.237 b=11.513 c=17.510 alpha=90.00 beta=90.00 gamma=90.00
Space group C222_1 (No. 20)
Inequivalent atoms, fractional coordinates:
1 Bi 0.215 0.191 0.146 (multiplicity 8)
2 P 0.000 0.330 0.750 (multiplicity 4)
3 P 0.051 0.268 0.484 (multiplicity 8)
4 P 0.113 0.146 0.341 (multiplicity 8)
5 P 0.169 0.500 0.500 (multiplicity 4)
6 P 0.182 0.494 0.203 (multiplicity 8)
7 O 0.024 0.097 0.159 (multiplicity 8)
8 O 0.063 0.415 0.813 (multiplicity 8)
9 O 0.067 0.406 0.471 (multiplicity 8)
10 O 0.090 0.240 0.031 (multiplicity 8)
11 O 0.099 0.255 0.710 (multiplicity 8)
12 O 0.111 0.233 0.558 (multiplicity 8)
13 O 0.137 0.380 0.170 (multiplicity 8)
14 O 0.141 0.220 0.416 (multiplicity 8)
15 O 0.160 0.218 0.275 (multiplicity 8)
16 O 0.208 0.038 0.355 (multiplicity 8)
17 O 0.224 0.491 0.716 (multiplicity 8)
18 O 0.249 0.041 0.065 (multiplicity 8)

---

Relative energies, eV/atom: run i 0.000; run ii 0.007.

---

Run i
The following is a meta-GGA SCAN calculation of a PBEsol-optimized structure of Bi3P2O10, from Alexandria.

Unit cell a=5.450 b=6.787 c=7.003 alpha=68.86 beta=67.25 gamma=86.87
Space group P1 (No. 1)
Inequivalent atoms, fractional coordinates:
1 Bi 0.000 0.000 0.000 (multiplicity 1)
2 Bi 0.206 0.274 0.425 (multiplicity 1)
3 Bi 0.554 0.422 0.708 (multiplicity 1)
4 P 0.328 0.820 0.350 (multiplicity 1)
5 P 0.887 0.476 0.092 (multiplicity 1)
6 O 0.110 0.942 0.464 (multiplicity 1)
7 O 0.117 0.327 0.033 (multiplicity 1)
8 O 0.267 0.580 0.501 (multiplicity 1)
9 O 0.328 0.851 0.120 (multiplicity 1)
10 O 0.364 0.160 0.692 (multiplicity 1)
11 O 0.606 0.896 0.325 (multiplicity 1)
12 O 0.638 0.399 0.076 (multiplicity 1)
13 O 0.832 0.452 0.336 (multiplicity 1)
14 O 0.852 0.196 0.742 (multiplicity 1)
15 O 0.995 0.705 0.930 (multiplicity 1)

---

Run ii
The following is a meta-GGA SCAN calculation of a PBEsol-optimized structure of Bi3P2O10, from Alexandria.

Unit cell a=6.825 b=7.577 c=8.999 alpha=106.61 beta=93.64 gamma=111.77
Space group P-1 (No. 2)
Inequivalent atoms, fractional coordinates:
1 Bi 0.054 0.201 0.409 (multiplicity 2)
2 Bi 0.171 0.869 0.003 (multiplicity 2)
3 Bi 0.326 0.303 0.826 (multiplicity 2)
4 P 0.148 0.598 0.247 (multiplicity 2)
5 P 0.457 0.734 0.744 (multiplicity 2)
6 O 0.034 0.389 0.858 (multiplicity 2)
7 O 0.066 0.033 0.866 (multiplicity 2)
8 O 0.130 0.652 0.421 (multiplicity 2)
9 O 0.131 0.376 0.187 (multiplicity 2)
10 O 0.170 0.100 0.599 (multiplicity 2)
11 O 0.275 0.812 0.740 (multiplicity 2)
12 O 0.357 0.151 0.327 (multiplicity 2)
13 O 0.362 0.739 0.219 (multiplicity 2)
14 O 0.371 0.502 0.664 (multiplicity 2)
15 O 0.463 0.208 0.074 (multiplicity 2)

---

Relative energies, eV/atom: run i 0.019; run ii 0.000.

---

Run i
The following is a meta-GGA SCAN calculation of a PBEsol-optimized structure of Bi2S3O12, from Alexandria.

Unit cell a=8.808 b=9.428 c=14.480 alpha=90.00 beta=121.81 gamma=90.00
Space group P2_1/c (No. 14)
Inequivalent atoms, fractional coordinates:
1 Bi 0.147 0.030 0.382 (multiplicity 4)
2 Bi 0.344 0.038 0.118 (multiplicity 4)
3 S 0.026 0.633 0.631 (multiplicity 4)
4 S 0.255 0.108 0.660 (multiplicity 4)
5 S 0.450 0.743 0.492 (multiplicity 4)
6 O 0.041 0.730 0.186 (multiplicity 4)
7 O 0.104 0.640 0.563 (multiplicity 4)
8 O 0.127 0.075 0.695 (multiplicity 4)
9 O 0.131 0.522 0.717 (multiplicity 4)
10 O 0.160 0.102 0.540 (multiplicity 4)
11 O 0.166 0.092 0.934 (multiplicity 4)
12 O 0.267 0.700 0.944 (multiplicity 4)
13 O 0.323 0.247 0.199 (multiplicity 4)
14 O 0.404 0.005 0.708 (multiplicity 4)
15 O 0.420 0.144 0.443 (multiplicity 4)
16 O 0.475 0.694 0.403 (multiplicity 4)
17 O 0.478 0.622 0.565 (multiplicity 4)

---

Run ii
The following is a meta-GGA SCAN calculation of a PBEsol-optimized structure of Bi2S3O12, from Alexandria.

Unit cell a=9.0465 b=9.0465 c=24.2164 alpha=90.00 beta=90.00 gamma=120.00
Space group R-3 (No. 148, hexagonal axes)
Inequivalent atoms, fractional coordinates:
1 Bi 0.0000 0.0000 0.1430 (multiplicity 6)
2 Bi 0.0000 0.0000 0.3489 (multiplicity 6)
3 S 0.0065 0.2881 0.7494 (multiplicity 18)
4 O 0.0079 0.7853 0.1947 (multiplicity 18)
5 O 0.0313 0.2209 0.0856 (multiplicity 18)
6 O 0.0715 0.4993 0.0624 (multiplicity 18)
7 O 0.0922 0.2251 0.7112 (multiplicity 18)

---

Relative energies, eV/atom: run i 0.000; run ii 0.007.